Below is a relaxed structure of Sr6Ca2Mn3Fe5O24, with properties calculated at the PBE with a Hubbard U level.

Results
Space-group type: P1, No. 1
Total energy in eV per cell: -261.9

Cell lengths 7.8382, 7.7340, 7.7544 Å; angles 90.00, 90.00, 90.00 degrees
Last column: magnetic moment on the atom in μB.
Atoms (fractional coordinates):
Sr: 0.7505 0.7499 0.2506  0.01
Sr: 0.7516 0.7502 0.7494  0.01
Sr: 0.2493 0.7500 0.7490  0.01
Sr: 0.7514 0.2498 0.2506  0.01
Sr: 0.7506 0.2501 0.7494  0.01
Sr: 0.2491 0.2500 0.2510  0.01
Ca: 0.2491 0.7496 0.2511  0.01
Ca: 0.2492 0.2503 0.7485  0.01
Mn: 0.4985 0.0000 0.5000  3.31
Mn: 0.0017 0.5000 0.5000  3.33
Mn: 0.4986 0.5000 0.5000  3.32
Fe: 0.0018 0.0000 0.0000  3.89
Fe: 0.0018 0.0000 0.5000  4.08
Fe: 0.4983 0.0000 0.0000  4.01
Fe: 0.0015 0.5000 0.0000  4.01
Fe: 0.4982 0.5000 0.0000  3.98
O: 0.9997 0.7508 0.9710  0.03
O: 0.9998 0.7477 0.5275  -0.01
O: 0.4912 0.7498 0.0374  0.03
O: 0.4901 0.7496 0.4588  -0.11
O: 0.9996 0.2492 0.0290  0.03
O: 0.9990 0.2523 0.4724  -0.01
O: 0.4914 0.2502 0.9626  0.03
O: 0.4910 0.2504 0.5411  -0.11
O: 0.7506 0.0000 0.0002  0.08
O: 0.7465 0.9997 0.4998  0.03
O: 0.2495 0.0001 0.9997  0.07
O: 0.2532 0.0005 0.5004  0.03
O: 0.7496 0.5001 0.0000  0.07
O: 0.7496 0.5004 0.4999  -0.06
O: 0.2504 0.5000 0.0000  0.06
O: 0.2501 0.4993 0.5003  -0.06
O: 0.0083 0.9680 0.2477  0.04
O: 0.0078 0.0319 0.7523  0.04
O: 0.5008 0.0340 0.2524  -0.02
O: 0.5012 0.9660 0.7476  -0.02
O: 0.0087 0.5332 0.2519  -0.04
O: 0.0085 0.4668 0.7481  -0.04
O: 0.5011 0.4657 0.2524  -0.04
O: 0.5012 0.5343 0.7476  -0.04